DFT (GGA-PBE) results for a geometry-optimized ZrNi3Br structure.

The space group is Pm-3m (No. 221) and the conventional cell measures 4.385, 4.385 and 4.385 Å, with angles of 90.00, 90.00 and 90.00 degrees. The asymmetric unit holds Zr at (0.000, 0.000, 0.000), Ni at (0.000, 0.500, 0.500) and Br at (0.500, 0.500, 0.500).

Its magnetic moment is 0.000 μB per atom. The calculation puts the calculated density at 6.838 g/cm3. The polymorph energy (0 for the lowest one) comes out at 0 meV per atom.